[1]
A plane-wave DFT calculation with PBE-GGA was carried out for crystalline KTe2PI at its relaxed geometry.

a b c (Å): 5.336 5.336 6.068
angles (deg): 90.00 90.00 90.00
Fractional coordinates of all 5 atoms:
I 0.000 0.000 0.500
P 0.000 0.000 0.000
K 0.500 0.500 0.500
Te 0.000 0.500 0.000
Te 0.500 0.000 0.000

Formation energy from raw total energies (meV/atom): -147
Final energy (eV for the cell shown): -15.1
Calculated volume (Å³ per atom): 34.56
N(E_F) (states/eV per cell): 4.3

[2]
A plane-wave DFT calculation with PBE-GGA was carried out for crystalline KTe2PI at its relaxed geometry.

a b c (Å): 6.641 6.641 6.426
angles (deg): 90.00 90.00 90.00
Fractional coordinates of all 5 atoms:
I 0.000 0.000 0.500
P 0.500 0.500 0.500
K 0.000 0.000 0.000
Te 0.000 0.500 0.000
Te 0.500 0.000 0.000

Formation energy from raw total energies (meV/atom): 1135
Final energy (eV for the cell shown): -8.7
Calculated volume (Å³ per atom): 56.69
N(E_F) (states/eV per cell): 6.7

[3]
A plane-wave DFT calculation with PBE-GGA was carried out for crystalline KTl2PI6 at its relaxed geometry.

a b c (Å): 8.527 8.526 8.639
angles (deg): 60.40 60.39 59.96
Fractional coordinates of all 10 atoms:
K 0.818 0.818 0.546
Tl 0.531 0.531 0.406
Tl 0.018 0.018 0.947
P 0.327 0.327 0.020
I 0.541 0.213 0.247
I 0.213 0.000 0.247
I 0.000 0.541 0.247
I 0.429 0.658 0.785
I 0.658 0.127 0.786
I 0.127 0.429 0.786

Formation energy from raw total energies (meV/atom): -509
Final energy (eV for the cell shown): -25.6
Calculated volume (Å³ per atom): 44.66
N(E_F) (states/eV per cell): 0.0

[4]
A plane-wave DFT calculation with PBE-GGA was carried out for crystalline KPa2I8 at its relaxed geometry.

a b c (Å): 8.358 9.936 9.936
angles (deg): 58.42 83.04 83.04
Fractional coordinates of all 11 atoms:
K 0.000 0.000 0.000
Pa 0.637 0.819 0.819
Pa 0.363 0.181 0.181
I 0.253 0.331 0.859
I 0.747 0.141 0.669
I 0.281 0.822 0.822
I 0.719 0.178 0.178
I 0.253 0.859 0.331
I 0.747 0.669 0.141
I 0.783 0.656 0.656
I 0.217 0.344 0.344

Formation energy from raw total energies (meV/atom): -855
Final energy (eV for the cell shown): -41.9
Calculated volume (Å³ per atom): 63.28
N(E_F) (states/eV per cell): 9.8

[5]
A plane-wave DFT calculation with PBE-GGA was carried out for crystalline K3PaI6 at its relaxed geometry.

a b c (Å): 8.441 9.158 15.080
angles (deg): 90.00 55.72 90.00
Fractional coordinates of all 20 atoms:
K 0.213 0.906 0.248
K 0.500 0.500 0.000
K 0.787 0.094 0.752
K 0.213 0.594 0.748
K 0.500 0.000 0.500
K 0.787 0.406 0.252
Pa 0.000 0.500 0.500
Pa 0.000 0.000 0.000
I 0.236 0.177 0.068
I 0.911 0.205 0.425
I 0.625 0.448 0.734
I 0.375 0.552 0.266
I 0.089 0.795 0.575
I 0.764 0.823 0.932
I 0.236 0.323 0.568
I 0.911 0.295 0.925
I 0.625 0.052 0.234
I 0.375 0.948 0.766
I 0.089 0.705 0.075
I 0.764 0.677 0.432

Formation energy from raw total energies (meV/atom): -1194
Final energy (eV for the cell shown): -68.0
Calculated volume (Å³ per atom): 48.17
N(E_F) (states/eV per cell): 21.8

[6]
A plane-wave DFT calculation with PBE-GGA was carried out for crystalline KPaI6 at its relaxed geometry.

a b c (Å): 7.960 7.960 7.825
angles (deg): 98.84 98.84 114.93
Fractional coordinates of all 8 atoms:
K 0.000 0.000 0.000
Pa 0.500 0.500 0.500
I 0.519 0.834 0.746
I 0.834 0.519 0.746
I 0.166 0.481 0.254
I 0.481 0.166 0.254
I 0.242 0.242 0.681
I 0.758 0.758 0.319

Formation energy from raw total energies (meV/atom): -1079
Final energy (eV for the cell shown): -28.5
Calculated volume (Å³ per atom): 53.86

[7]
A plane-wave DFT calculation with PBE-GGA was carried out for crystalline K2PaI7 at its relaxed geometry.

a b c (Å): 9.563 10.860 11.520
angles (deg): 72.82 65.48 63.88
Fractional coordinates of all 20 atoms:
K 0.640 0.911 0.702
K 0.747 0.411 0.202
K 0.253 0.589 0.798
K 0.360 0.089 0.298
Pa 0.884 0.250 0.750
Pa 0.116 0.750 0.250
I 0.652 0.548 0.786
I 0.014 0.048 0.286
I 0.255 0.859 0.973
I 0.267 0.152 0.612
I 0.559 0.250 0.750
I 0.913 0.359 0.473
I 0.031 0.348 0.888
I 0.969 0.652 0.112
I 0.087 0.641 0.527
I 0.441 0.750 0.250
I 0.733 0.848 0.388
I 0.745 0.141 0.027
I 0.986 0.952 0.714
I 0.348 0.452 0.214

Formation energy from raw total energies (meV/atom): -1086
Final energy (eV for the cell shown): -66.8
Calculated volume (Å³ per atom): 48.40

[8]
A plane-wave DFT calculation with PBE-GGA was carried out for crystalline KPa2I8 at its relaxed geometry.

a b c (Å): 6.218 10.806 10.807
angles (deg): 120.00 90.00 90.00
Fractional coordinates of all 11 atoms:
K 0.000 0.000 0.000
Pa 0.249 0.333 0.667
Pa 0.751 0.667 0.333
I 0.249 0.667 0.333
I 0.751 0.333 0.667
I 0.743 0.824 0.174
I 0.257 0.174 0.350
I 0.257 0.650 0.824
I 0.257 0.176 0.826
I 0.743 0.826 0.650
I 0.743 0.350 0.176

Formation energy from raw total energies (meV/atom): -874
Final energy (eV for the cell shown): -42.1
Calculated volume (Å³ per atom): 57.17
N(E_F) (states/eV per cell): 17.3

[9]
A plane-wave DFT calculation with PBE-GGA was carried out for crystalline KPa2I6 at its relaxed geometry.

a b c (Å): 4.140 8.544 13.257
angles (deg): 114.50 90.00 104.02
Fractional coordinates of all 9 atoms:
K 0.000 0.000 0.500
Pa 0.693 0.386 0.873
Pa 0.307 0.614 0.127
I 0.033 0.066 0.786
I 0.651 0.301 0.083
I 0.349 0.699 0.917
I 0.684 0.367 0.635
I 0.316 0.633 0.365
I 0.967 0.934 0.214

Formation energy from raw total energies (meV/atom): -926
Final energy (eV for the cell shown): -37.7
Calculated volume (Å³ per atom): 45.70
N(E_F) (states/eV per cell): 8.2

[10]
A plane-wave DFT calculation with PBE-GGA was carried out for crystalline K2PaI5 at its relaxed geometry.

a b c (Å): 4.492 11.042 14.211
angles (deg): 90.00 90.00 90.00
Fractional coordinates of all 16 atoms:
K 0.500 0.587 0.167
K 0.500 0.413 0.833
K 0.500 0.913 0.667
K 0.500 0.087 0.333
Pa 0.000 0.500 0.500
Pa 0.000 0.000 0.000
I 0.000 0.000 0.500
I 0.000 0.500 0.000
I 0.000 0.866 0.192
I 0.000 0.134 0.808
I 0.000 0.634 0.692
I 0.000 0.366 0.308
I 0.500 0.674 0.424
I 0.500 0.326 0.576
I 0.500 0.826 0.924
I 0.500 0.174 0.076

Formation energy from raw total energies (meV/atom): -1128
Final energy (eV for the cell shown): -56.9
Calculated volume (Å³ per atom): 44.05
N(E_F) (states/eV per cell): 8.6

[11]
A plane-wave DFT calculation with PBE-GGA was carried out for crystalline KPaI2 at its relaxed geometry.

a b c (Å): 4.038 4.038 11.318
angles (deg): 79.72 79.72 60.00
Fractional coordinates of all 4 atoms:
I 0.092 0.092 0.723
I 0.908 0.908 0.277
K 0.500 0.500 0.500
Pa 0.000 0.000 0.000

Formation energy from raw total energies (meV/atom): -320
Final energy (eV for the cell shown): -15.0
Calculated volume (Å³ per atom): 39.10
N(E_F) (states/eV per cell): 6.7

[12]
A plane-wave DFT calculation with PBE-GGA was carried out for crystalline K2PaTlI8 at its relaxed geometry.

a b c (Å): 8.544 7.359 10.307
angles (deg): 90.20 89.61 90.47
Fractional coordinates of all 12 atoms:
K 0.498 0.490 0.736
K 0.502 0.510 0.264
Pa 0.000 0.000 0.000
Tl 0.000 0.000 0.500
I 0.127 0.762 0.203
I 0.706 0.780 0.997
I 0.867 0.234 0.205
I 0.873 0.238 0.797
I 0.294 0.220 0.003
I 0.133 0.766 0.795
I 0.699 0.713 0.505
I 0.301 0.287 0.495

Formation energy from raw total energies (meV/atom): -1020
Final energy (eV for the cell shown): -38.7
Calculated volume (Å³ per atom): 54.01
N(E_F) (states/eV per cell): 2.6